TlFeHg2 | PBE | optimized geometry

```
data_TlFeHg2
_cell_length_a 4.330
_cell_length_b 4.330
_cell_length_c 4.645
_cell_angle_alpha 90.00
_cell_angle_beta 90.00
_cell_angle_gamma 90.00
_space_group_name_H-M_alt 'P 4/m m m'
_space_group_IT_number 123
_space_group_name_Hall '-P 4 2'
loop_
_atom_site_label
_atom_site_type_symbol
_atom_site_fract_x
_atom_site_fract_y
_atom_site_fract_z
_atom_site_occupancy
Tl1 Tl 0.000 0.000 0.000 1
Fe1 Fe 0.500 0.500 0.000 1
Hg1 Hg 0.000 0.500 0.500 1
```

The calculation puts the formation energy at 0.4923 eV per atom. The energy above the most stable polymorph in this dataset is 155.2 meV per atom.

***

TlFeHg2 | PBE | optimized geometry

```
data_TlFeHg2
_cell_length_a 4.725
_cell_length_b 3.066
_cell_length_c 6.930
_cell_angle_alpha 90.00
_cell_angle_beta 109.64
_cell_angle_gamma 90.00
_space_group_name_H-M_alt 'P 1 m 1'
_space_group_IT_number 6
loop_
_space_group_symop_operation_xyz
'x,y,z'
'x,-y,z'
loop_
_atom_site_label
_atom_site_type_symbol
_atom_site_fract_x
_atom_site_fract_y
_atom_site_fract_z
_atom_site_occupancy
Tl1 Tl 0.000 0.000 0.000 1
Fe1 Fe 0.482 0.500 0.964 1
Hg1 Hg 0.304 0.000 0.610 1
Hg2 Hg 0.690 0.500 0.377 1
```

The calculation puts the formation energy at 0.3796 eV per atom. The energy above the most stable polymorph in this dataset is 42.6 meV per atom.

***

Tl2FeHg | PBE | optimized geometry

```
data_Tl2FeHg
_cell_length_a 3.3673
_cell_length_b 3.3673
_cell_length_c 28.6410
_cell_angle_alpha 90.00
_cell_angle_beta 90.00
_cell_angle_gamma 120.00
_space_group_name_H-M_alt 'R -3 m'
_space_group_IT_number 166
_space_group_name_Hall '-R 3 2"'
loop_
_atom_site_label
_atom_site_type_symbol
_atom_site_fract_x
_atom_site_fract_y
_atom_site_fract_z
_atom_site_occupancy
Tl1 Tl 0.0000 0.0000 0.2410 1
Fe1 Fe 0.0000 0.0000 0.5000 1
Hg1 Hg 0.0000 0.0000 0.0000 1
```

The calculation puts the formation energy at 0.4532 eV per atom. The energy above the most stable polymorph in this dataset is 83.5 meV per atom.

***

TlFe2Hg2 | PBE | optimized geometry

```
data_TlFe2Hg2
_cell_length_a 8.344
_cell_length_b 8.344
_cell_length_c 2.902
_cell_angle_alpha 90.00
_cell_angle_beta 90.00
_cell_angle_gamma 90.00
_space_group_name_H-M_alt 'P 4/m b m'
_space_group_IT_number 127
_space_group_name_Hall '-P 4 2ab'
loop_
_atom_site_label
_atom_site_type_symbol
_atom_site_fract_x
_atom_site_fract_y
_atom_site_fract_z
_atom_site_occupancy
Tl1 Tl 0.000 0.000 0.000 1
Fe1 Fe 0.101 0.399 0.500 1
Hg1 Hg 0.187 0.687 0.000 1
```

The calculation puts the formation energy at 0.4934 eV per atom. The energy above the most stable polymorph in this dataset is 89.8 meV per atom.

***

no.,theoretical density (g/cm3)
1,12.61
2,11.62
3,11.78
4,11.79